NaYSe2O6: relaxed, PBE.

Results
Raw total energy   -6.16 eV per atom
E_form (uncorrected)   -1706 meV per atom
Crystal system   trigonal
Energy above the lowest structure with this stoichiometry   59 meV per atom

Unit cell a=5.4330 b=5.4330 c=17.9984 alpha=90.00 beta=90.00 gamma=120.00
Space group R-3 (No. 148, hexagonal axes)
One atom of each set of equivalent atoms:
Na1 0.0000 0.0000 0.0000
Y1 0.0000 0.0000 0.5000
Se1 0.0000 0.0000 0.2807
O1 0.0182 0.7174 0.2420